First-principles (PBE) data for a relaxed structure of HfAlIn2Co, as listed in Alexandria via LeMat-Bulk.

Cell: 5.481 5.228 5.481 Å, 90.00 90.00 90.00°
Each line ends with the local moment (μB).
Positions (direct):
Co (0.500, 0.500, 0.500)  2.17
Hf (0.000, 0.000, 0.000)  -0.21
Al (0.000, 0.500, 0.000)  -0.01
In (0.000, 0.000, 0.500)  -0.04
In (0.500, 0.000, 0.000)  -0.04

Energy of formation from the pure elements (eV per atom): 1.370
Uncorrected energy (eV/atom): -3.89

First-principles (PBE) data for a relaxed structure of SeS2Br2, as listed in Alexandria via LeMat-Bulk.

Cell: 6.506 11.922 10.495 Å, 149.66 104.03 70.37°
Positions (direct):
Se (0.023, 0.844, 0.151)
Se (0.977, 0.156, 0.849)
S (0.343, 0.970, 0.980)
S (0.121, 0.239, 0.146)
S (0.879, 0.761, 0.854)
S (0.657, 0.030, 0.020)
Br (0.715, 0.543, 0.211)
Br (0.285, 0.457, 0.789)
Br (0.679, 0.078, 0.429)
Br (0.321, 0.922, 0.571)

Uncorrected energy (eV/atom): -2.99
Polymorph energy (0 for the lowest one) (eV/f.u.): 0.00

First-principles (PBE) data for a relaxed structure of TbHoAlCd, as listed in Alexandria via LeMat-Bulk.

Cell: 5.200 5.200 5.200 Å, 60.00 60.00 60.00°
Positions (direct):
Al (0.250, 0.250, 0.250)
Tb (0.000, 0.000, 0.000)
Ho (0.500, 0.500, 0.500)
Cd (0.750, 0.750, 0.750)

Energy of formation from the pure elements (eV per atom): -0.354
Uncorrected energy (eV/atom): -3.82
Polymorph energy (0 for the lowest one) (eV/f.u.): 0.05

First-principles (PBE) data for a relaxed structure of PrNiAs2, as listed in Alexandria via LeMat-Bulk.

Cell: 3.771 3.771 8.195 Å, 76.70 76.70 60.00°
Positions (direct):
Pr (0.000, 0.000, 0.000)
Ni (0.500, 0.500, 0.500)
As (0.125, 0.125, 0.624)
As (0.875, 0.875, 0.376)

Energy of formation from the pure elements (eV per atom): -0.136
Uncorrected energy (eV/atom): -5.10

First-principles (PBE) data for a relaxed structure of Gd2PuPa, as listed in Alexandria via LeMat-Bulk.

Cell: 3.374 3.374 12.085 Å, 81.98 81.98 60.00°
Each line ends with the local moment (μB).
Positions (direct):
Gd (0.091, 0.091, 0.727)  7.11
Gd (0.909, 0.909, 0.273)  7.11
Pa (0.500, 0.500, 0.500)  -0.21
Pu (0.000, 0.000, 0.000)  5.72

Energy of formation from the pure elements (eV per atom): 0.292
Uncorrected energy (eV/atom): -12.71
Polymorph energy (0 for the lowest one) (eV/f.u.): 0.16

First-principles (PBE) data for a relaxed structure of Dy2HgCl, as listed in Alexandria via LeMat-Bulk.

Cell: 3.586 3.586 9.277 Å, 78.86 78.86 60.00°
Positions (direct):
Dy (0.087, 0.087, 0.739)
Dy (0.246, 0.246, 0.261)
Hg (0.667, 0.667, 0.000)
Cl (0.500, 0.500, 0.501)

Uncorrected energy (eV/atom): -3.66
Polymorph energy (0 for the lowest one) (eV/f.u.): 0.00

Copy entry 4 word for word.
First-principles (PBE) data for a relaxed structure of PrNiAs2, as listed in Alexandria via LeMat-Bulk.

Cell: 3.771 3.771 8.195 Å, 76.70 76.70 60.00°
Positions (direct):
Pr (0.000, 0.000, 0.000)
Ni (0.500, 0.500, 0.500)
As (0.125, 0.125, 0.624)
As (0.875, 0.875, 0.376)

Energy of formation from the pure elements (eV per atom): -0.136
Uncorrected energy (eV/atom): -5.10

> Which value of uncorrected energy does entry 2 give?

-2.99 eV/atom

> Which formula does entry 4 have?

PrNiAs2

> Look up the uncorrected energy of the fifth one.

-12.71 eV/atom